# CeTmPd

CeTmPd after structural relaxation (PBE, the Alexandria database).

Cell lengths 11.3798, 4.8230, 6.2648 Å; angles 90.00, 121.21, 90.00 degrees
Element x y z (fractional)
Ce 0.0419 0.0000 0.3246
Ce 0.4581 0.5000 0.6754
Ce 0.5419 0.5000 0.3246
Ce 0.9581 0.0000 0.6754
Tm 0.1745 0.5000 0.0947
Tm 0.3255 0.0000 0.9053
Tm 0.6745 0.0000 0.0947
Tm 0.8255 0.5000 0.9053
Pd 0.1756 0.5000 0.6493
Pd 0.3244 0.0000 0.3507
Pd 0.6756 0.0000 0.6493
Pd 0.8244 0.5000 0.3507

Values from the calculation:
Energy of formation in eV/f.u.: -1.4
Offset from the most stable computed form in meV per atom: 0


# PrYPtRh

PrYPtRh after structural relaxation (PBE, the Alexandria database).

Cell lengths 7.0803, 7.0803, 7.0803 Å; angles 90.00, 90.00, 90.00 degrees
Element x y z (fractional)
Pr 0.0000 0.0000 0.0000
Pr 0.0000 0.5000 0.5000
Pr 0.5000 0.0000 0.5000
Pr 0.5000 0.5000 0.0000
Y 0.0000 0.0000 0.5000
Y 0.0000 0.5000 0.0000
Y 0.5000 0.0000 0.0000
Y 0.5000 0.5000 0.5000
Pt 0.2500 0.2500 0.2500
Pt 0.2500 0.7500 0.7500
Pt 0.7500 0.2500 0.7500
Pt 0.7500 0.7500 0.2500
Rh 0.2500 0.2500 0.7500
Rh 0.2500 0.7500 0.2500
Rh 0.7500 0.2500 0.2500
Rh 0.7500 0.7500 0.7500

Values from the calculation:
Energy of formation in eV/f.u.: -3.6
Offset from the most stable computed form in meV per atom: 58


# Dy2TaTe

Dy2TaTe after structural relaxation (PBE, the Alexandria database).

Cell lengths 3.5928, 3.5928, 30.2758 Å; angles 90.00, 90.00, 120.00 degrees
Element x y z (fractional)
Dy 0.0000 0.0000 0.0946
Dy 0.0000 0.0000 0.9054
Dy 0.3333 0.6667 0.5721
Dy 0.3333 0.6667 0.7612
Dy 0.6667 0.3333 0.2388
Dy 0.6667 0.3333 0.4279
Ta 0.0000 0.0000 0.0000
Ta 0.3333 0.6667 0.6667
Ta 0.6667 0.3333 0.3333
Te 0.0000 0.0000 0.5000
Te 0.3333 0.6667 0.1667
Te 0.6667 0.3333 0.8333

Values from the calculation:
Energy relative to the elements, uncorrected in eV per atom: 0.388


# LiVOs2

LiVOs2 after structural relaxation (PBE, the Alexandria database).

Cell lengths 6.8173, 6.8173, 5.1642 Å; angles 90.00, 90.00, 90.00 degrees
Element x y z (fractional)
Li 0.0000 0.0000 0.0000
Li 0.0000 0.5000 0.2500
Li 0.5000 0.0000 0.7500
Li 0.5000 0.5000 0.5000
V 0.0000 0.0000 0.5000
V 0.0000 0.5000 0.7500
V 0.5000 0.0000 0.2500
V 0.5000 0.5000 0.0000
Os 0.2241 0.7500 0.6250
Os 0.2500 0.2241 0.3750
Os 0.2500 0.2759 0.8750
Os 0.2759 0.7500 0.1250
Os 0.7241 0.2500 0.1250
Os 0.7500 0.7241 0.8750
Os 0.7500 0.7759 0.3750
Os 0.7759 0.2500 0.6250

Values from the calculation:
Energy of formation in eV/f.u.: 2.6


# CaPuGa2

CaPuGa2 after structural relaxation (PBE, the Alexandria database).

Cell lengths 5.1709, 5.1709, 3.5496 Å; angles 90.00, 90.00, 90.00 degrees
Element x y z (fractional)
Ca 0.0000 0.0000 0.0000
Pu 0.5000 0.5000 0.0000
Ga 0.0000 0.5000 0.5000
Ga 0.5000 0.0000 0.5000

Values from the calculation:
Energy of formation in eV/f.u.: -1.3
Offset from the most stable computed form in meV per atom: 0


# Na2Mg2O3

Na2Mg2O3 after structural relaxation (PBE, the Alexandria database).

Cell lengths 5.8818, 6.0554, 5.9259 Å; angles 90.00, 117.43, 90.00 degrees
Element x y z (fractional)
Na 0.1469 0.1496 0.4165
Na 0.1469 0.3504 0.9165
Na 0.8531 0.6496 0.0835
Na 0.8531 0.8504 0.5835
Mg 0.3375 0.6169 0.5732
Mg 0.3375 0.8831 0.0732
Mg 0.6625 0.1169 0.9268
Mg 0.6625 0.3831 0.4268
O 0.0000 0.0000 0.0000
O 0.0000 0.5000 0.5000
O 0.3772 0.6004 0.2505
O 0.3772 0.8996 0.7505
O 0.6228 0.1004 0.2495
O 0.6228 0.3996 0.7495

Values from the calculation:
Energy relative to the elements, uncorrected in eV per atom: -2.044


# La8GeSe4S3

La8GeSe4S3 after structural relaxation (PBE, the Alexandria database).

Cell lengths 8.5920, 8.5920, 8.5920 Å; angles 59.42, 59.42, 59.42 degrees
Element x y z (fractional)
La 0.2426 0.7471 0.7471
La 0.2443 0.2443 0.2443
La 0.2529 0.2529 0.7574
La 0.2529 0.7574 0.2529
La 0.7471 0.2426 0.7471
La 0.7471 0.7471 0.2426
La 0.7557 0.7557 0.7557
La 0.7574 0.2529 0.2529
Ge 0.5000 0.5000 0.5000
Se 0.0000 0.0000 0.0000
Se 0.0000 0.5000 0.5000
Se 0.5000 0.0000 0.5000
Se 0.5000 0.5000 0.0000
S 0.0000 0.0000 0.5000
S 0.0000 0.5000 0.0000
S 0.5000 0.0000 0.0000

Values from the calculation:
Energy relative to the elements, uncorrected in eV per atom: -1.940


# ErBe3Pt3

ErBe3Pt3 after structural relaxation (PBE, the Alexandria database).

Cell lengths 6.1402, 6.1402, 6.1402 Å; angles 90.00, 90.00, 90.00 degrees
Element x y z (fractional)
Er 0.0000 0.0000 0.0000
Er 0.5000 0.5000 0.5000
Be 0.0000 0.2500 0.5000
Be 0.0000 0.7500 0.5000
Be 0.2500 0.5000 0.0000
Be 0.5000 0.0000 0.2500
Be 0.5000 0.0000 0.7500
Be 0.7500 0.5000 0.0000
Pt 0.0000 0.5000 0.2500
Pt 0.0000 0.5000 0.7500
Pt 0.2500 0.0000 0.5000
Pt 0.5000 0.2500 0.0000
Pt 0.5000 0.7500 0.0000
Pt 0.7500 0.0000 0.5000

Values from the calculation:
Energy of formation in eV/f.u.: -3.3


# Tb2YEr6Sc3

Tb2YEr6Sc3 after structural relaxation (PBE, the Alexandria database).

Cell lengths 6.0098, 6.0098, 11.4246 Å; angles 95.03, 95.03, 119.96 degrees
Element x y z (fractional)
Tb 0.1666 0.8334 0.0000
Tb 0.8334 0.1666 0.0000
Y 0.5000 0.5000 0.0000
Er 0.0795 0.4133 0.7403
Er 0.2529 0.2529 0.2596
Er 0.4133 0.0795 0.7403
Er 0.5867 0.9205 0.2597
Er 0.7471 0.7471 0.7404
Er 0.9205 0.5867 0.2597
Sc 0.0000 0.0000 0.5000
Sc 0.3335 0.6665 0.5000
Sc 0.6665 0.3335 0.5000

Values from the calculation:
Energy of formation in eV/f.u.: 0.5


# ZrSc2Ag6

ZrSc2Ag6 after structural relaxation (PBE, the Alexandria database).

Cell lengths 8.1122, 8.1122, 5.0924 Å; angles 98.83, 98.83, 143.37 degrees
Element x y z (fractional)
Zr 0.0000 0.0000 0.0000
Sc 0.1644 0.8356 0.5000
Sc 0.8356 0.1644 0.5000
Ag 0.1664 0.5001 0.1658
Ag 0.3367 0.3367 0.6718
Ag 0.5001 0.1664 0.1658
Ag 0.4999 0.8336 0.8342
Ag 0.6633 0.6633 0.3282
Ag 0.8336 0.4999 0.8342

Values from the calculation:
Energy of formation in eV/f.u.: -1.2


# TaReTc2

TaReTc2 after structural relaxation (PBE, the Alexandria database).

Cell lengths 3.9509, 3.9509, 8.0044 Å; angles 90.00, 90.00, 90.00 degrees
Element x y z (fractional)
Ta 0.0000 0.0000 0.0000
Ta 0.5000 0.5000 0.5000
Re 0.0000 0.5000 0.2500
Re 0.5000 0.0000 0.7500
Tc 0.0000 0.0000 0.5000
Tc 0.0000 0.5000 0.7500
Tc 0.5000 0.0000 0.2500
Tc 0.5000 0.5000 0.0000

Values from the calculation:
Energy of formation in eV/f.u.: 0.3
Offset from the most stable computed form in meV per atom: 147


# Pr2ZnIn

Pr2ZnIn after structural relaxation (PBE, the Alexandria database).

Cell lengths 3.7662, 3.7662, 7.8091 Å; angles 90.00, 90.00, 90.00 degrees
Element x y z (fractional)
Pr 0.0000 0.0000 0.2312
Pr 0.0000 0.0000 0.7688
Zn 0.5000 0.5000 0.0000
In 0.5000 0.5000 0.5000

Values from the calculation:
Energy of formation in eV/f.u.: -1.6


Going through the records in order, we get calculated total energy values of -16.99; -28.22; -22.65; -30.91; -23.72; -35.01; -101.40; -37.20; -61.56; -39.49; -44.75; -15.15 eV per formula unit.